# 1
Material: BeAgRu2
Method: DFT, GGA-PBE
State: optimized geometry

Results
- total DFT energy (no corrections) (eV per cell) = -23.16
- mass density (g/cm³) = 9.552
- formation energy from the elements (meV/atom) = 491.7
- magnetization (Bohr magnetons per cell) = 0.0

a = 3.6673 Å, b = 3.6673 Å, c = 4.1237 Å
α = 90.00°, β = 90.00°, γ = 90.00°
With the nearest neighbours (Å) after each atom.
Sites, in units of the cell vectors:
Be  0.0000  0.0000  0.0000  4 Ag 2.59, 8 Ru 2.76
Ag  0.5000  0.5000  0.0000  4 Be 2.59, 8 Ru 2.76
Ru  0.0000  0.5000  0.5000  4 Ru 2.59, 4 Be 2.76, 4 Ag 2.76
Ru  0.5000  0.0000  0.5000  4 Ru 2.59, 4 Be 2.76, 4 Ag 2.76

---

# 2
Material: BeAgRu2
Method: DFT, GGA-PBE
State: optimized geometry

Results
- total DFT energy (no corrections) (eV per cell) = -23.07
- mass density (g/cm³) = 9.493
- formation energy from the elements (meV/atom) = 515.5
- magnetization (Bohr magnetons per cell) = 1.3

a = 4.8622 Å, b = 4.8622 Å, c = 4.8622 Å
α = 135.43°, β = 135.43°, γ = 64.86°
With the nearest neighbours (Å) after each atom.
Sites, in units of the cell vectors:
Be  0.0000  0.0000  0.0000  4 Ag 2.61, 8 Ru 2.76
Ag  0.5000  0.5000  0.0000  4 Be 2.61, 8 Ru 2.76
Ru  0.2500  0.7500  0.5000  4 Ru 2.61, 4 Be 2.76, 4 Ag 2.76
Ru  0.7500  0.2500  0.5000  4 Ru 2.61, 4 Be 2.76, 4 Ag 2.76

---

# 3
Material: Be2AgRu2
Method: DFT, GGA-PBE
State: optimized geometry

Results
- energy above the lowest structure with this stoichiometry (eV per formula unit) = 1.24
- total DFT energy (no corrections) (eV per cell) = -55.26
- mass density (g/cm³) = 8.386
- formation energy from the elements (meV/atom) = 244.7
- magnetization (Bohr magnetons per cell) = 1.4

a = 6.9745 Å, b = 6.9745 Å, c = 2.6708 Å
α = 90.00°, β = 90.00°, γ = 90.00°
With the nearest neighbours (Å) after each atom.
Sites, in units of the cell vectors:
Be  0.1682  0.3318  0.0000  6 Ru 2.43-2.46, 2 Be 2.67
Be  0.3318  0.8318  0.0000  6 Ru 2.43-2.46, 2 Be 2.67
Be  0.6682  0.1682  0.0000  6 Ru 2.43-2.46, 2 Be 2.67
Be  0.8318  0.6682  0.0000  6 Ru 2.43-2.46, 2 Be 2.67
Ag  0.0000  0.0000  0.5000  2 Ag 2.67, 4 Ru 2.75, 8 Be 2.92
Ag  0.5000  0.5000  0.5000  2 Ag 2.67, 4 Ru 2.75, 8 Be 2.92
Ru  0.1257  0.6257  0.5000  6 Be 2.43-2.46, 3 Ru 2.48-2.67
Ru  0.3743  0.1257  0.5000  6 Be 2.43-2.46, 3 Ru 2.48-2.67
Ru  0.6257  0.8743  0.5000  6 Be 2.43-2.46, 3 Ru 2.48-2.67
Ru  0.8743  0.3743  0.5000  6 Be 2.43-2.46, 3 Ru 2.48-2.67

---

# 4
Material: BeAgRu2
Method: DFT, GGA-PBE
State: optimized geometry

Results
- total DFT energy (no corrections) (eV per cell) = -22.89
- mass density (g/cm³) = 9.659
- formation energy from the elements (meV/atom) = 559.8
- magnetization (Bohr magnetons per cell) = 0.0

a = 4.1717 Å, b = 4.1717 Å, c = 3.1515 Å
α = 90.00°, β = 90.00°, γ = 90.00°
With the nearest neighbours (Å) after each atom.
Sites, in units of the cell vectors:
Be  0.0000  0.0000  0.0000  8 Ru 2.61
Ag  0.5000  0.5000  0.0000  8 Ru 2.61
Ru  0.0000  0.5000  0.5000  4 Be 2.61, 4 Ag 2.61
Ru  0.5000  0.0000  0.5000  4 Be 2.61, 4 Ag 2.61

---

Repeat the second record exactly.
Material: BeAgRu2
Method: DFT, GGA-PBE
State: optimized geometry

Results
- total DFT energy (no corrections) (eV per cell) = -23.07
- mass density (g/cm³) = 9.493
- formation energy from the elements (meV/atom) = 515.5
- magnetization (Bohr magnetons per cell) = 1.3

a = 4.8622 Å, b = 4.8622 Å, c = 4.8622 Å
α = 135.43°, β = 135.43°, γ = 64.86°
With the nearest neighbours (Å) after each atom.
Sites, in units of the cell vectors:
Be  0.0000  0.0000  0.0000  4 Ag 2.61, 8 Ru 2.76
Ag  0.5000  0.5000  0.0000  4 Be 2.61, 8 Ru 2.76
Ru  0.2500  0.7500  0.5000  4 Ru 2.61, 4 Be 2.76, 4 Ag 2.76
Ru  0.7500  0.2500  0.5000  4 Ru 2.61, 4 Be 2.76, 4 Ag 2.76